{
  "formula": "La2Pr3Mg",
  "functional": "PBE",
  "state": "relaxed",
  "lattice": [[-3.1935, 5.2107, 3.1017], [3.1935, -5.2107, 3.1017], [3.1935, 5.2107, -3.1017]],
  "species": ["La", "La", "Pr", "Pr", "Pr", "Mg"],
  "fractional_positions": [[0.1667, 0.0000, 0.1667], [0.8333, 0.0000, 0.8333], [0.0400, 0.3879, 0.6520], [0.5081, 0.5081, 0.0000], [0.7359, 0.3879, 0.3480], [0.3618, 0.8618, 0.5000]],
  "formation_energy_kcal_per_mol_atoms": 6.0,
  "sg": "Imm2, No. 44"
}

{
  "formula": "U2BiSb3",
  "functional": "PBE",
  "state": "relaxed",
  "lattice": [[4.3623, 0.0000, 0.0000], [0.0000, 4.3623, 0.0000], [0.0000, 0.0000, 8.7680]],
  "species": ["U", "U", "Bi", "Sb", "Sb", "Sb"],
  "fractional_positions": [[0.0000, 0.5000, 0.2123], [0.5000, 0.0000, 0.7877], [0.0000, 0.0000, 0.5000], [0.0000, 0.5000, 0.8555], [0.5000, 0.0000, 0.1445], [0.5000, 0.5000, 0.5000]],
  "e_form_raw_ev_per_atom": -0.19,
  "sg": "P-4m2, No. 115"
}

Number 1: D(E_F) 10.42 states/eV per cell, calculated volume 206.4 Å³ per cell. Number 2: D(E_F) 15.83 states/eV per cell, calculated volume 166.9 Å³ per cell.